VASP calculation (PBE) on a relaxed structure of In3Ag8. Values from VASP.

Quantum ESPRESSO input file:
```
&SYSTEM
  ibrav = 0, nat = 11, ntyp = 2
/
ATOMIC_SPECIES
In 114.82 In.upf
Ag 107.87 Ag.upf
CELL_PARAMETERS angstrom
4.754 -2.127 0.000
4.754 2.127 0.000
-2.648 0.000 10.387
ATOMIC_POSITIONS crystal
In 0.000 0.000 0.000
In 0.099 0.099 0.642
In 0.901 0.901 0.358
Ag 0.179 0.179 0.272
Ag 0.275 0.275 0.912
Ag 0.365 0.365 0.547
Ag 0.454 0.454 0.182
Ag 0.546 0.546 0.818
Ag 0.635 0.635 0.453
Ag 0.725 0.725 0.088
Ag 0.821 0.821 0.728
```

Properties
SG = No. 12
Polymorph energy (0 for the lowest one) = 0.000 eV/atom
Formation energy = -0.0276 eV/atom
D(E_F) = 2.7 states/eV/cell